Entry 1:
An optimized crystal structure of Cs2Ti3Se8, computed with PBE.

The value obtained for the total energy is -5.11 eV per atom. The formation energy from raw total energies comes out at -1.009 eV/atom.

The space group is C2/m (No. 12) and the conventional cell measures 18.318, 7.301 and 6.314 Å, with angles of 90.00, 104.62 and 90.00 degrees. Symmetry generates all atoms from Cs at (0.245, 0.000, 0.196), Ti at (0.000, 0.242, 0.500), Ti at (0.000, 0.500, 0.000), Se at (0.085, 0.000, 0.412), Se at (0.085, 0.267, 0.885) and Se at (0.085, 0.500, 0.390).

***

Entry 2:
An optimized crystal structure of Cs3Ti5Se12, computed with PBE.

The value obtained for the total energy is -5.13 eV per atom. The formation energy from raw total energies comes out at -0.942 eV/atom.

The space group is Ia-3d (No. 230) and the conventional cell measures 16.989, 16.989 and 16.989 Å, with angles of 90.00, 90.00 and 90.00 degrees. Symmetry generates all atoms from Cs at (0.000, 0.250, 0.125), Ti at (0.000, 0.000, 0.000), Ti at (0.000, 0.250, 0.375) and Se at (0.040, 0.141, 0.956).

***

> Which formula does entry 1 have?

Cs2Ti3Se8

***

What did the first record say?
An optimized crystal structure of Cs2Ti3Se8, computed with PBE.

The value obtained for the total energy is -5.11 eV per atom. The formation energy from raw total energies comes out at -1.009 eV/atom.

The space group is C2/m (No. 12) and the conventional cell measures 18.318, 7.301 and 6.314 Å, with angles of 90.00, 104.62 and 90.00 degrees. Symmetry generates all atoms from Cs at (0.245, 0.000, 0.196), Ti at (0.000, 0.242, 0.500), Ti at (0.000, 0.500, 0.000), Se at (0.085, 0.000, 0.412), Se at (0.085, 0.267, 0.885) and Se at (0.085, 0.500, 0.390).

***

> What is the formula in the second record?

Cs3Ti5Se12

***

> What is the formula in the second record?

Cs3Ti5Se12